No. 1
Compound: TaTl2P
Source: the Alexandria database
Functional: PBE-GGA
Structure: relaxed

Cell lengths 3.428, 5.353, 4.994 Å; angles 90.00, 91.86, 90.00 degrees
Fractional coordinates of all 4 atoms:
Ta (0.000, 0.000, 0.000)
Tl (0.281, 0.500, 0.248)
Tl (0.719, 0.500, 0.752)
P (0.000, 0.000, 0.500)

Calculated values
space group	P2/m, No. 10
energy above the lowest structure with this stoichiometry	0.587	eV/atom
crystal system	monoclinic
energy of formation	0.5793	eV per atom
DOS at the Fermi energy	2.42	states/eV/f.u.

---

No. 2
Compound: TaTl2P
Source: the Alexandria database
Functional: PBE-GGA
Structure: relaxed

Cell lengths 3.457, 6.039, 6.039 Å; angles 46.46, 90.00, 90.00 degrees
Fractional coordinates of all 4 atoms:
Ta (0.000, 0.000, 0.000)
Tl (0.000, 0.729, 0.729)
Tl (0.500, 0.427, 0.427)
P (0.500, 0.152, 0.152)

Calculated values
space group	Amm2, No. 38
energy above the lowest structure with this stoichiometry	0.210	eV/atom
crystal system	orthorhombic
energy of formation	0.2022	eV per atom
DOS at the Fermi energy	2.11	states/eV/f.u.

---

- Which of these has the highest DOS at the Fermi energy?
  number 1

---

- Among the records above, which one has the highest energy above the lowest structure with this stoichiometry?
  number 1

---

- DOS at the Fermi energy of number 2 (TaTl2P)?
  2.11 states/eV/f.u.

---

- Look up the energy of formation of the first one.
  0.5793 eV per atom